{
  "formula": "TcNiAgO5",
  "functional": "PBE with a Hubbard U",
  "state": "optimized geometry",
  "e_tot_ev_per_atom": -5.96,
  "rho_g_cm3": 5.0,
  "space_group": "No. 15",
  "lattice_angstrom": [[5.860, 0.188, 0.076], [-1.531, 5.660, 0.076], [-1.702, -2.299, 6.778]],
  "species": ["Tc", "Tc", "Ni", "Ni", "Ag", "Ag", "O", "O", "O", "O", "O", "O", "O", "O", "O", "O"],
  "fractional_positions": [[0.667, 0.333, 0.250], [0.333, 0.667, 0.750], [0.000, 0.000, 0.500], [0.000, 0.000, 0.000], [0.297, 0.703, 0.250], [0.703, 0.297, 0.750], [0.064, 0.936, 0.250], [0.936, 0.064, 0.750], [0.884, 0.321, 0.121], [0.116, 0.679, 0.879], [0.679, 0.116, 0.379], [0.321, 0.884, 0.621], [0.744, 0.628, 0.415], [0.256, 0.372, 0.585], [0.372, 0.256, 0.085], [0.628, 0.744, 0.915]]
}